No. 1
The following is a PBE calculation of a relaxed TcIrBr2 crystal, from Alexandria.

```
4
Lattice="3.211 0.000 0.000 0.000 3.210 0.000 0.000 0.000 6.578" Properties=species:S:1:pos:R:3 pbc="T T T"
Ir 1.605 1.605 1.644
Tc 1.605 1.605 4.933
Br 0.000 0.000 6.500
Br 0.000 0.000 3.366
```

Calculated values
**Volume**: 16.95 Å³/atom
**M_tot**: 0.00 μB per cell
**E_tot**: -17.7 eV/cell
**Uncorrected formation energy**: 1217 meV per atom

---

No. 2
The following is a PBE calculation of a relaxed BaTmI2O8 crystal, from Alexandria.

```
12
Lattice="-4.493 2.944 -2.030 -4.573 -2.798 -2.058 -5.921 0.058 5.068" Properties=species:S:1:pos:R:3 pbc="T T T"
Ba -7.493 0.102 0.490
Tm 0.000 0.000 0.000
I -3.559 0.050 -0.172
I -11.428 0.154 1.152
O -4.302 0.053 1.477
O -5.053 1.090 -0.905
O -10.685 0.151 -0.496
O -8.093 1.033 -2.276
O -6.893 -0.829 3.257
O -6.530 -1.826 -1.567
O -8.457 2.030 2.548
O -9.933 -0.886 1.886
```

Calculated values
**Volume**: 16.78 Å³/atom
**M_tot**: 1.05 μB per cell
**E_tot**: -65.4 eV/cell
**Uncorrected formation energy**: -1357 meV per atom

---

No. 3
The following is a PBE calculation of a relaxed CuNiSb2I crystal, from Alexandria.

```
5
Lattice="5.012 0.000 0.000 0.000 5.012 0.000 0.000 0.000 5.347" Properties=species:S:1:pos:R:3 pbc="T T T"
I 0.000 0.000 2.673
Sb 0.000 2.506 0.000
Sb 2.506 0.000 0.000
Cu 0.000 0.000 0.000
Ni 2.506 2.506 2.673
```

Calculated values
**Volume**: 26.86 Å³/atom
**M_tot**: 0.32 μB per cell
**E_tot**: -15.0 eV/cell
**Uncorrected formation energy**: 926 meV per atom

---

No. 4
The following is a PBE calculation of a relaxed CaIrNO2 crystal, from Alexandria.

```
5
Lattice="4.227 0.000 0.000 0.000 4.227 0.000 0.000 0.000 4.508" Properties=species:S:1:pos:R:3 pbc="T T T"
Ca 0.000 0.000 0.000
Ir 2.113 2.113 2.254
O 0.000 2.113 0.000
O 2.113 0.000 0.000
N 0.000 0.000 2.254
```

Calculated values
**Volume**: 16.11 Å³/atom
**M_tot**: 5.92 μB per cell
**E_tot**: -22.9 eV/cell
**Uncorrected formation energy**: 1233 meV per atom

---

No. 5
The following is a PBE calculation of a relaxed CdW2Br crystal, from Alexandria.

```
4
Lattice="-0.664 -1.481 2.547 -4.017 -1.789 -2.088 2.648 -4.022 -1.648" Properties=species:S:1:pos:R:3 pbc="T T T"
Br 0.992 -2.752 0.449
W 0.000 0.000 0.000
W -2.341 -1.635 0.229
Cd -0.685 -2.905 -1.868
```

Calculated values
**Volume**: 18.71 Å³/atom
**M_tot**: 0.00 μB per cell
**E_tot**: -24.0 eV/cell
**Uncorrected formation energy**: 1128 meV per atom

---

No. 6
The following is a PBE calculation of a relaxed La4BiPbO crystal, from Alexandria.

```
14
Lattice="6.786 0.000 0.000 0.000 6.751 0.000 -3.393 0.000 9.308" Properties=species:S:1:pos:R:3 pbc="T T T"
La 3.393 1.688 8.042
La 0.000 5.063 7.811
La 0.000 5.063 1.266
La 3.393 1.688 1.497
La 1.696 3.376 4.654
La -1.696 0.000 4.654
La 1.696 0.000 4.654
La -1.696 3.376 4.654
Bi 3.393 5.063 2.060
Bi 0.000 1.688 7.248
Pb 0.000 1.688 2.072
Pb 3.393 5.063 7.236
O 0.000 5.063 5.492
O 3.393 1.688 3.816
```

Calculated values
**Volume**: 30.46 Å³/atom
**M_tot**: 2.90 μB per cell
**E_tot**: -83.1 eV/cell
**Uncorrected formation energy**: -1325 meV per atom

---

No. 7
The following is a PBE calculation of a relaxed SrAgGePd2 crystal, from Alexandria.

```
5
Lattice="4.832 0.000 0.000 0.000 4.832 0.000 0.000 0.000 4.914" Properties=species:S:1:pos:R:3 pbc="T T T"
Sr 2.416 2.416 2.457
Ge 0.000 0.000 0.000
Pd 0.000 2.416 0.000
Pd 2.416 0.000 0.000
Ag 0.000 0.000 2.457
```

Calculated values
**Volume**: 22.95 Å³/atom
**E_form**: -159 kJ/mol of formula units
**M_tot**: 0.00 μB per cell
**E_tot**: -21.2 eV/cell

---

No. 8
The following is a PBE calculation of a relaxed Pm3ThHg2 crystal, from Alexandria.

```
6
Lattice="-2.075 1.914 2.386 -1.531 -3.146 1.193 9.191 -1.105 8.879" Properties=species:S:1:pos:R:3 pbc="T T T"
Pm 0.000 0.000 0.000
Pm 6.313 -0.759 6.098
Pm 2.878 -0.346 2.780
Th 2.793 -1.169 6.229
Hg 5.944 -1.547 9.273
Hg -0.358 -0.790 3.185
```

Calculated values
**Volume**: 29.21 Å³/atom
**E_form**: -184 kJ/mol of formula units
**M_tot**: 0.21 μB per cell
**E_tot**: -24.2 eV/cell

---

No. 9
The following is a PBE calculation of a relaxed NbTl2WSe crystal, from Alexandria.

```
5
Lattice="-5.397 -1.102 0.644 0.589 -0.135 4.704 -1.074 5.433 0.291" Properties=species:S:1:pos:R:3 pbc="T T T"
Tl -0.537 2.717 0.145
Tl -2.699 -0.551 0.322
Se -2.941 2.098 2.820
Nb 0.000 0.000 0.000
W 0.295 -0.068 2.352
```

Calculated values
**Volume**: 29.18 Å³/atom
**M_tot**: 0.00 μB per cell
**E_tot**: -24.5 eV/cell
**Uncorrected formation energy**: 1345 meV per atom

---

No. 10
The following is a PBE calculation of a relaxed CaSn2I crystal, from Alexandria.

```
8
Lattice="9.564 0.000 0.000 0.000 9.564 0.000 4.782 4.782 3.038" Properties=species:S:1:pos:R:3 pbc="T T T"
I 0.000 0.000 0.000
I 9.564 4.782 1.519
Ca 4.782 4.782 0.000
Ca 4.782 9.564 1.519
Sn 7.031 2.391 0.760
Sn 2.533 7.173 0.760
Sn 7.173 7.315 2.279
Sn 11.956 11.814 2.279
```

Calculated values
**Volume**: 34.74 Å³/atom
**M_tot**: 0.00 μB per cell
**E_tot**: -24.0 eV/cell
**Uncorrected formation energy**: -108 meV per atom

---

No. 11
The following is a PBE calculation of a relaxed YBeSb2 crystal, from Alexandria.

```
4
Lattice="4.044 0.000 0.000 0.000 4.044 0.000 0.000 0.000 6.116" Properties=species:S:1:pos:R:3 pbc="T T T"
Y 0.000 0.000 2.870
Sb 0.000 0.000 5.795
Sb 2.022 2.022 1.990
Be 2.022 2.022 4.637
```

Calculated values
**Volume**: 25.01 Å³/atom
**M_tot**: 0.00 μB per cell
**E_tot**: -18.8 eV/cell
**Uncorrected formation energy**: -103 meV per atom

---

No. 12
The following is a PBE calculation of a relaxed Mn2FeBr crystal, from Alexandria.

```
4
Lattice="4.379 -0.204 0.295 3.430 2.729 0.295 0.530 0.172 6.187" Properties=species:S:1:pos:R:3 pbc="T T T"
Br 2.405 0.778 3.300
Fe 2.730 0.883 0.917
Mn 0.547 0.177 0.388
Mn 6.827 2.208 5.558
```

Calculated values
**Volume**: 19.44 Å³/atom
**M_tot**: 7.90 μB per cell
**E_tot**: -26.2 eV/cell
**Uncorrected formation energy**: 568 meV per atom

---

No. 13
The following is a PBE calculation of a relaxed BaTlSb2 crystal, from Alexandria.

```
16
Lattice="-3.486 2.151 2.754 -5.790 -0.848 -6.666 -3.687 -12.035 4.734" Properties=species:S:1:pos:R:3 pbc="T T T"
Ba -5.796 -2.708 1.413
Ba -7.166 -8.024 -0.591
Ba -8.062 -1.077 -2.728
Ba -4.901 -9.655 3.550
Tl -4.945 0.692 -0.165
Tl -8.018 -11.425 0.987
Tl -9.312 -4.536 -1.608
Tl -3.651 -6.197 2.430
Sb -2.218 -3.185 1.892
Sb -10.745 -7.547 -1.071
Sb -4.695 -2.244 -1.978
Sb -8.268 -8.488 2.799
Sb -2.164 -0.920 0.191
Sb -10.799 -9.812 0.630
Sb -6.089 -4.706 -1.819
Sb -6.874 -6.027 2.641
```

Calculated values
**Volume**: 36.80 Å³/atom
**M_tot**: 0.00 μB per cell
**E_tot**: -57.3 eV/cell
**Uncorrected formation energy**: -450 meV per atom

---

No. 14
The following is a PBE calculation of a relaxed B5C7 crystal, from Alexandria.

```
12
Lattice="3.765 -0.115 -2.159 2.944 2.351 -2.159 -0.133 -0.044 8.375" Properties=species:S:1:pos:R:3 pbc="T T T"
B 4.211 1.404 -0.051
B 2.990 0.997 1.369
B 1.175 0.392 0.861
B 5.797 1.932 -3.270
B 3.377 1.126 5.090
C 2.539 0.846 -0.159
C -0.041 -0.014 8.136
C 4.464 1.488 3.906
C 2.058 0.686 4.113
C 1.040 0.347 5.219
C 6.465 2.155 0.102
C 5.352 1.784 1.114
```

Calculated values
**Volume**: 6.35 Å³/atom
**E_form**: 395 kJ/mol of formula units
**M_tot**: 0.00 μB per cell
**E_tot**: -93.9 eV/cell